(1)
Entry from Alexandria via LeMat-Bulk: an optimized crystal structure of BaSnSb6Ir2 (PBE).

abc: 11.903 11.903 11.903
angles: 29.41 29.41 29.41
Positions (direct):
Ba: 0.000 0.000 0.000
Sn: 0.500 0.500 0.500
Sb: 0.139 0.761 0.378
Sb: 0.239 0.622 0.861
Sb: 0.378 0.139 0.761
Sb: 0.622 0.861 0.239
Sb: 0.761 0.378 0.139
Sb: 0.861 0.239 0.622
Ir: 0.270 0.270 0.270
Ir: 0.730 0.730 0.730

## Properties
Size of the total moment in μB/atom: 0.000
E_form (uncorrected) in eV/atom: 0.253

***

(2)
Entry from Alexandria via LeMat-Bulk: an optimized crystal structure of Ac2NiSn6 (PBE).

abc: 4.614 12.463 12.463
angles: 21.10 90.00 90.00
Positions (direct):
Ac: 0.000 0.000 0.000
Ac: 0.000 0.335 0.335
Ni: 0.500 0.558 0.558
Sn: 0.000 0.610 0.610
Sn: 0.000 0.728 0.728
Sn: 0.500 0.110 0.110
Sn: 0.500 0.229 0.229
Sn: 0.500 0.454 0.454
Sn: 0.500 0.878 0.878

## Properties
Size of the total moment in μB/atom: 0.000
Distance to the lowest polymorph of the same formula in meV per atom: 0.0
Formation enthalpy at 0 K in eV/atom: -0.491

***

(3)
Entry from Alexandria via LeMat-Bulk: an optimized crystal structure of CrHPb3 (PBE).

abc: 5.158 5.158 5.158
angles: 90.00 90.00 90.00
Positions (direct):
Cr: 0.000 0.000 0.000
H: 0.500 0.500 0.500
Pb: 0.000 0.000 0.500
Pb: 0.000 0.500 0.000
Pb: 0.500 0.000 0.000

## Properties
Size of the total moment in μB/atom: 0.200
Distance to the lowest polymorph of the same formula in meV per atom: 177.9

***

(4)
Entry from Alexandria via LeMat-Bulk: an optimized crystal structure of TbErSc2Tl4 (PBE).

abc: 9.075 9.075 9.075
angles: 33.51 33.51 33.51
Positions (direct):
Tb: 0.000 0.000 0.000
Er: 0.500 0.500 0.500
Sc: 0.250 0.250 0.250
Sc: 0.750 0.750 0.750
Tl: 0.126 0.126 0.126
Tl: 0.376 0.376 0.376
Tl: 0.624 0.624 0.624
Tl: 0.874 0.874 0.874

## Properties
Size of the total moment in μB/atom: 0.000
Formation enthalpy at 0 K in eV/atom: -0.286

***

(5)
Entry from Alexandria via LeMat-Bulk: an optimized crystal structure of BeAlAg (PBE).

abc: 6.626 6.359 2.806
angles: 82.92 72.23 24.85
Positions (direct):
Be: 0.000 0.000 0.000
Al: 0.347 0.347 0.653
Ag: 0.658 0.658 0.342

## Properties
Size of the total moment in μB/atom: 0.000
Distance to the lowest polymorph of the same formula in meV per atom: 96.0
Formation enthalpy at 0 K in eV/atom: 0.248

***

(6)
Entry from Alexandria via LeMat-Bulk: an optimized crystal structure of Th4AgGe (PBE).

abc: 7.571 7.571 5.850
angles: 90.00 90.00 90.00
Positions (direct):
Th: 0.152 0.336 0.000
Th: 0.152 0.664 0.500
Th: 0.336 0.152 0.500
Th: 0.336 0.848 0.000
Th: 0.664 0.152 0.000
Th: 0.664 0.848 0.500
Th: 0.848 0.336 0.500
Th: 0.848 0.664 0.000
Ag: 0.500 0.500 0.250
Ag: 0.500 0.500 0.750
Ge: 0.000 0.000 0.250
Ge: 0.000 0.000 0.750

## Properties
Size of the total moment in μB/atom: 0.000
Formation enthalpy at 0 K in eV/atom: -0.295

***

(7)
Entry from Alexandria via LeMat-Bulk: an optimized crystal structure of Y3CuSn3 (PBE).

abc: 6.052 6.052 14.852
angles: 108.02 108.02 43.44
Positions (direct):
Y: 0.029 0.029 0.383
Y: 0.096 0.096 0.921
Y: 0.238 0.238 0.230
Y: 0.762 0.762 0.770
Y: 0.904 0.904 0.079
Y: 0.971 0.971 0.617
Cu: 0.268 0.268 0.611
Cu: 0.732 0.732 0.389
Sn: 0.353 0.353 0.454
Sn: 0.370 0.370 0.924
Sn: 0.477 0.477 0.764
Sn: 0.523 0.523 0.236
Sn: 0.630 0.630 0.076
Sn: 0.647 0.647 0.546

## Properties
Size of the total moment in μB/atom: 0.000
Formation enthalpy at 0 K in eV/atom: -0.672

***

(8)
Entry from Alexandria via LeMat-Bulk: an optimized crystal structure of Nb2FeRe (PBE).

abc: 2.728 4.427 5.316
angles: 90.00 100.09 90.00
Positions (direct):
Nb: 0.249 0.000 0.250
Nb: 0.751 0.000 0.750
Fe: 0.500 0.500 0.000
Re: 0.000 0.500 0.500

## Properties
Size of the total moment in μB/atom: 0.461
Formation enthalpy at 0 K in eV/atom: -0.014

***

(9)
Entry from Alexandria via LeMat-Bulk: an optimized crystal structure of MnPRu2 (PBE).

abc: 8.072 8.072 8.072
angles: 19.49 19.49 19.49
Positions (direct):
Mn: 0.000 0.000 0.000
P: 0.259 0.259 0.259
Ru: 0.515 0.515 0.515
Ru: 0.752 0.752 0.752

## Properties
Size of the total moment in μB/atom: 0.321
Distance to the lowest polymorph of the same formula in meV per atom: 201.6
Formation enthalpy at 0 K in eV/atom: -0.025

***

(10)
Entry from Alexandria via LeMat-Bulk: an optimized crystal structure of BaCd3AgPd (PBE).

abc: 7.860 7.860 6.248
angles: 90.00 90.00 125.57
Positions (direct):
Ba: 0.232 0.768 0.750
Ba: 0.768 0.232 0.250
Cd: 0.202 0.202 0.000
Cd: 0.202 0.202 0.500
Cd: 0.356 0.644 0.250
Cd: 0.644 0.356 0.750
Cd: 0.798 0.798 0.000
Cd: 0.798 0.798 0.500
Ag: 0.149 0.851 0.250
Ag: 0.851 0.149 0.750
Pd: 0.446 0.554 0.750
Pd: 0.554 0.446 0.250

## Properties
Size of the total moment in μB/atom: 0.000
Formation enthalpy at 0 K in eV/atom: -0.230

***

(11)
Entry from Alexandria via LeMat-Bulk: an optimized crystal structure of Al2MoSe (PBE).

abc: 4.871 4.871 2.881
angles: 90.00 90.00 106.78
Positions (direct):
Al: 0.000 0.500 0.000
Al: 0.500 0.000 0.000
Mo: 0.000 0.000 0.500
Se: 0.500 0.500 0.500

## Properties
Size of the total moment in μB/atom: 0.000
E_form (uncorrected) in eV/atom: 0.033

***

(12)
Entry from Alexandria via LeMat-Bulk: an optimized crystal structure of Fe2CoCuC (PBE).

abc: 3.756 3.756 3.730
angles: 90.00 90.00 90.00
Positions (direct):
Fe: 0.000 0.500 0.000
Fe: 0.500 0.000 0.000
Co: 0.000 0.000 0.500
Cu: 0.500 0.500 0.500
C: 0.000 0.000 0.000

## Properties
Size of the total moment in μB/atom: 0.806
Formation enthalpy at 0 K in eV/atom: 0.142

***

The evaluated density for the records listed, in turn: 6.33; 7.88; 8.16; 10.10; 5.47; 10.98; 6.46; 11.24; 9.35; 7.29; 5.81; 7.77 g/cm3.